{
  "formula": "Er4Pb2Se",
  "functional": "PBE-GGA",
  "state": "optimized geometry",
  "space_group": "P2_1/m (11)",
  "vol_a3_per_cell": 400.4,
  "e_form_raw_ev_per_atom": -0.6581,
  "lattice_angstrom": [[6.725, 0.000, 0.000], [0.000, 6.689, 0.000], [-3.320, 0.000, 8.901]],
  "species": ["Er", "Er", "Er", "Er", "Er", "Er", "Er", "Er", "Pb", "Pb", "Pb", "Pb", "Se", "Se"],
  "fractional_positions": [[0.015, 0.005, 0.255], [0.015, 0.495, 0.255], [0.418, 0.250, 0.140], [0.422, 0.250, 0.571], [0.578, 0.750, 0.429], [0.582, 0.750, 0.860], [0.985, 0.505, 0.745], [0.985, 0.995, 0.745], [0.179, 0.750, 0.042], [0.201, 0.750, 0.551], [0.799, 0.250, 0.449], [0.821, 0.250, 0.958], [0.335, 0.250, 0.836], [0.665, 0.750, 0.164]]
}

***

{
  "formula": "Sb2OsPt",
  "functional": "PBE-GGA",
  "state": "optimized geometry",
  "space_group": "C2/m (12)",
  "vol_a3_per_cell": 76.6,
  "e_form_raw_ev_per_atom": 0.3022,
  "lattice_angstrom": [[4.210, -1.667, 0.000], [4.210, 1.667, 0.000], [-1.210, 0.000, 5.454]],
  "species": ["Sb", "Sb", "Os", "Pt"],
  "fractional_positions": [[0.243, 0.243, 0.240], [0.757, 0.757, 0.760], [0.500, 0.500, 0.000], [0.000, 0.000, 0.500]]
}

***

{
  "formula": "HgOsS2",
  "functional": "PBE-GGA",
  "state": "optimized geometry",
  "space_group": "R-3m (166)",
  "vol_a3_per_cell": 77.5,
  "e_form_raw_ev_per_atom": 0.4402,
  "lattice_angstrom": [[1.426, 0.823, 11.007], [-1.426, 0.823, 11.007], [0.000, -1.647, 11.007]],
  "species": ["Hg", "Os", "S", "S"],
  "fractional_positions": [[0.000, 0.000, 0.000], [0.500, 0.500, 0.500], [0.432, 0.432, 0.432], [0.568, 0.568, 0.568]]
}

***

{
  "formula": "CsScTl2Br6",
  "functional": "PBE-GGA",
  "state": "optimized geometry",
  "space_group": "P2_1/c (14)",
  "vol_a3_per_cell": 789.4,
  "e_form_raw_ev_per_atom": -1.4030,
  "lattice_angstrom": [[7.681, 0.000, 0.000], [0.000, 9.020, 0.000], [-7.181, 0.000, 11.393]],
  "species": ["Cs", "Cs", "Sc", "Sc", "Tl", "Tl", "Tl", "Tl", "Br", "Br", "Br", "Br", "Br", "Br", "Br", "Br", "Br", "Br", "Br", "Br"],
  "fractional_positions": [[0.000, 0.000, 0.000], [0.000, 0.500, 0.500], [0.500, 0.000, 0.500], [0.500, 0.500, 0.000], [0.203, 0.049, 0.718], [0.203, 0.451, 0.218], [0.797, 0.549, 0.782], [0.797, 0.951, 0.282], [0.182, 0.153, 0.477], [0.182, 0.347, 0.977], [0.246, 0.731, 0.889], [0.246, 0.769, 0.389], [0.422, 0.108, 0.295], [0.422, 0.392, 0.795], [0.578, 0.608, 0.205], [0.578, 0.892, 0.705], [0.754, 0.231, 0.611], [0.754, 0.269, 0.111], [0.818, 0.653, 0.023], [0.818, 0.847, 0.523]]
}

***

{
  "formula": "Ca3GaHg",
  "functional": "PBE-GGA",
  "state": "optimized geometry",
  "space_group": "Cmcm (63)",
  "ef_ev_per_atom": -0.416,
  "vol_a3_per_cell": 292.3,
  "lattice_angstrom": [[2.669, -10.264, 0.000], [2.669, 10.264, 0.000], [0.000, 0.000, 5.336]],
  "species": ["Ca", "Ca", "Ca", "Ca", "Ca", "Ca", "Ga", "Ga", "Hg", "Hg"],
  "fractional_positions": [[0.072, 0.928, 0.750], [0.250, 0.750, 0.750], [0.427, 0.573, 0.750], [0.573, 0.427, 0.250], [0.750, 0.250, 0.250], [0.928, 0.072, 0.250], [0.157, 0.843, 0.250], [0.843, 0.157, 0.750], [0.342, 0.658, 0.250], [0.658, 0.342, 0.750]]
}

***

{
  "formula": "SiAgPb2",
  "functional": "PBE-GGA",
  "state": "optimized geometry",
  "space_group": "Pmmm (47)",
  "vol_a3_per_cell": 97.7,
  "e_form_raw_ev_per_atom": 0.3526,
  "lattice_angstrom": [[4.230, 0.000, 0.000], [0.000, 4.673, 0.000], [0.000, 0.000, 4.943]],
  "species": ["Si", "Ag", "Pb", "Pb"],
  "fractional_positions": [[0.000, 0.000, 0.000], [0.000, 0.500, 0.500], [0.500, 0.000, 0.500], [0.500, 0.500, 0.000]]
}

***

{
  "formula": "LaTmSnPb",
  "functional": "PBE-GGA",
  "state": "optimized geometry",
  "space_group": "F-43m (216)",
  "ef_ev_per_atom": -0.490,
  "vol_a3_per_cell": 117.5,
  "lattice_angstrom": [[0.000, 3.888, 3.888], [3.888, 0.000, 3.888], [3.888, 3.888, 0.000]],
  "species": ["La", "Tm", "Sn", "Pb"],
  "fractional_positions": [[0.000, 0.000, 0.000], [0.500, 0.500, 0.500], [0.250, 0.250, 0.250], [0.750, 0.750, 0.750]]
}

***

{
  "formula": "Sr2ReHg",
  "functional": "PBE-GGA",
  "state": "optimized geometry",
  "space_group": "Cmmm (65)",
  "ef_ev_per_atom": 0.640,
  "vol_a3_per_cell": 107.8,
  "lattice_angstrom": [[4.091, -4.100, 0.000], [4.091, 4.100, 0.000], [0.000, 0.000, 3.215]],
  "species": ["Sr", "Sr", "Re", "Hg"],
  "fractional_positions": [[0.000, 0.500, 0.000], [0.500, 0.000, 0.000], [0.000, 0.000, 0.500], [0.500, 0.500, 0.500]]
}

***

| no. | magnetic moment (Bohr magnetons per cell) |
| --- | --- |
| 1 | 0.00 |
| 2 | 0.00 |
| 3 | 0.00 |
| 4 | 0.00 |
| 5 | 0.00 |
| 6 | 0.00 |
| 7 | 0.00 |
| 8 | 0.00 |